# 1
# PmThAg2 GGA-PBE optimized geometry
data_PmThAg2
_space_group_name_H-M_alt 'F m -3 m'
_space_group_IT_number 225
_space_group_name_Hall '-F 4 2 3'
_cell_length_a 7.480
_cell_length_b 7.480
_cell_length_c 7.480
_cell_angle_alpha 90.00
_cell_angle_beta 90.00
_cell_angle_gamma 90.00
loop_
_atom_site_label
_atom_site_type_symbol
_atom_site_fract_x
_atom_site_fract_y
_atom_site_fract_z
_atom_site_occupancy
Pm1 Pm 0.000 0.000 0.000 1
Th1 Th 0.000 0.000 0.500 1
Ag1 Ag 0.250 0.250 0.250 1
# - total DFT energy (no corrections) (eV/atom) = -4.5868
# - offset from the most stable computed form (meV per atom) = 24

***

# 2
# CdAgMo2 GGA-PBE optimized geometry
data_CdAgMo2
_space_group_name_H-M_alt 'P 4 m m'
_space_group_IT_number 99
_cell_length_a 3.254
_cell_length_b 3.254
_cell_length_c 6.801
_cell_angle_alpha 90.00
_cell_angle_beta 90.00
_cell_angle_gamma 90.00
loop_
_space_group_symop_operation_xyz
'x,y,z'
'-y,x,z'
'-x,-y,z'
'y,-x,z'
'-x,y,z'
'y,x,z'
'x,-y,z'
'-y,-x,z'
loop_
_atom_site_label
_atom_site_type_symbol
_atom_site_fract_x
_atom_site_fract_y
_atom_site_fract_z
_atom_site_occupancy
Cd1 Cd 0.000 0.000 0.000 1
Ag1 Ag 0.500 0.500 0.743 1
Mo1 Mo 0.000 0.000 0.465 1
Mo2 Mo 0.500 0.500 0.289 1
# - total DFT energy (no corrections) (eV/atom) = -6.0166